1.
The following is a PBE calculation of a relaxed CsAg2F4 crystal, from Alexandria via LeMat-Bulk.

Unit cell a=7.014 b=7.014 c=7.717 alpha=117.03 beta=117.03 gamma=90.00
Fractional coordinates of all 14 atoms:
Cs (0.750, 0.250, 0.500)
Cs (0.500, 0.500, 0.000)
Ag (0.125, 0.875, 0.750)
Ag (0.625, 0.875, 0.750)
Ag (0.125, 0.875, 0.250)
Ag (0.125, 0.375, 0.250)
F (0.948, 0.840, 0.413)
F (0.160, 0.535, 0.587)
F (0.428, 0.052, 0.587)
F (0.785, 0.178, 0.087)
F (0.822, 0.698, 0.913)
F (0.090, 0.215, 0.913)
F (0.465, 0.572, 0.413)
F (0.302, 0.910, 0.087)

Calculated values
Energy above the most stable polymorph in this dataset: 0 kJ/mol of formula units
Formation energy without anion corrections: -1603 meV/atom

2.
The following is a PBE calculation of a relaxed Ca3VS crystal, from Alexandria via LeMat-Bulk.

Unit cell a=5.664 b=5.664 c=5.664 alpha=90.00 beta=90.00 gamma=90.00
Site moments in Bohr magnetons follow the coordinates.
Fractional coordinates of all 5 atoms:
Ca (0.000, 0.500, 0.000)  0.22
Ca (0.000, 0.000, 0.500)  0.22
Ca (0.500, 0.000, 0.000)  0.22
S (0.500, 0.500, 0.500)  0.10
V (0.000, 0.000, 0.000)  3.34

Calculated values
Formation energy without anion corrections: 530 meV/atom

3.
The following is a PBE calculation of a relaxed HoHf4Co5 crystal, from Alexandria via LeMat-Bulk.

Unit cell a=3.167 b=3.167 c=16.107 alpha=90.00 beta=90.00 gamma=90.00
Site moments in Bohr magnetons follow the coordinates.
Fractional coordinates of all 10 atoms:
Ho (0.000, 0.000, 0.000)  -0.03
Hf (0.000, 0.000, 0.207)  -0.04
Hf (0.000, 0.000, 0.403)  0.01
Hf (0.000, 0.000, 0.597)  0.01
Hf (0.000, 0.000, 0.793)  -0.04
Co (0.500, 0.500, 0.121)  0.33
Co (0.500, 0.500, 0.310)  -0.03
Co (0.500, 0.500, 0.500)  -0.07
Co (0.500, 0.500, 0.690)  -0.03
Co (0.500, 0.500, 0.879)  0.33

Calculated values
Formation energy from the elements: -35.1 kJ/mol of atoms

Repeat the third record exactly.
The following is a PBE calculation of a relaxed HoHf4Co5 crystal, from Alexandria via LeMat-Bulk.

Unit cell a=3.167 b=3.167 c=16.107 alpha=90.00 beta=90.00 gamma=90.00
Site moments in Bohr magnetons follow the coordinates.
Fractional coordinates of all 10 atoms:
Ho (0.000, 0.000, 0.000)  -0.03
Hf (0.000, 0.000, 0.207)  -0.04
Hf (0.000, 0.000, 0.403)  0.01
Hf (0.000, 0.000, 0.597)  0.01
Hf (0.000, 0.000, 0.793)  -0.04
Co (0.500, 0.500, 0.121)  0.33
Co (0.500, 0.500, 0.310)  -0.03
Co (0.500, 0.500, 0.500)  -0.07
Co (0.500, 0.500, 0.690)  -0.03
Co (0.500, 0.500, 0.879)  0.33

Calculated values
Formation energy from the elements: -35.1 kJ/mol of atoms